# 1
## K2LiFeO3 (SCAN)

Data for a PBEsol-optimized structure of K2LiFeO3.

Calculated values
Calculated density, g cm⁻³: 3.1
Formation energy without anion corrections, meV per atom: -1727
VASP energy, Ry/atom: -0.71357

Cell: 6.010 6.010 6.545 Å, 90.00 90.00 120.52°
Fractional coordinates of all 14 atoms:
K (0.250, 0.250, 0.500)
K (0.250, 0.750, 0.838)
K (0.750, 0.250, 0.162)
K (0.750, 0.750, 0.500)
Li (0.250, 0.250, 0.000)
Li (0.750, 0.750, 0.000)
Fe (0.250, 0.750, 0.318)
Fe (0.750, 0.250, 0.682)
O (0.000, 0.500, 0.500)
O (0.099, 0.901, 0.168)
O (0.401, 0.599, 0.168)
O (0.500, 0.000, 0.500)
O (0.599, 0.401, 0.832)
O (0.901, 0.099, 0.832)



# 2
## KMgFe (SCAN)

Data for a PBEsol-optimized structure of KMgFe.

Calculated values
E above lowest polymorph, kJ per mole of atoms: 22.3
Formation enthalpy at 0 K, kcal/mol of atoms: 20.6
Calculated density, g cm⁻³: 2.9
VASP energy, Ry/atom: -0.70456

Cell: 5.294 5.294 2.824 Å, 90.00 90.00 120.00°
Fractional coordinates of all 3 atoms:
K (0.000, 0.000, 0.000)
Mg (0.333, 0.667, 0.359)
Fe (0.667, 0.333, 0.733)



# 3
## KMgFe (SCAN)

Data for a PBEsol-optimized structure of KMgFe.

Calculated values
E above lowest polymorph, kJ per mole of atoms: 0.0
Formation enthalpy at 0 K, kcal/mol of atoms: 15.2
Calculated density, g cm⁻³: 2.6
VASP energy, Ry/atom: -0.72156

Cell: 6.680 6.680 6.680 Å, 154.73 142.70 45.59°
Fractional coordinates of all 3 atoms:
K (0.000, 0.000, 0.000)
Mg (0.723, 0.723, 0.000)
Fe (0.286, 0.286, 0.000)



# 4
## KMg2Fe (SCAN)

Data for a PBEsol-optimized structure of KMg2Fe.

Calculated values
Formation enthalpy at 0 K, kcal/mol of atoms: 11.6
Calculated density, g cm⁻³: 2.5
VASP energy, Ry/atom: -0.63208

Cell: 3.148 3.148 9.559 Å, 90.00 90.00 90.00°
Fractional coordinates of all 4 atoms:
K (0.000, 0.000, 0.000)
Mg (0.000, 0.000, 0.567)
Mg (0.500, 0.500, 0.332)
Fe (0.500, 0.500, 0.726)



no.,calculated volume (Å³ per cell)
1,203.7
2,68.5
3,76.9
4,94.7